# MgInGaSn

A relaxed structure of MgInGaSn (PBE, Alexandria).

Summary:
ΔH_f (0 K): -0.010 eV/atom
Fermi-level density of states: 1.2 states/eV/f.u.
total magnetization: 0.000 μB per atom

Cell lengths 7.2934, 7.2934, 7.2934 Å; angles 90.00, 90.00, 90.00 degrees
Last column: nearest neighbours and their distance in Å.
Space group F-43m (No. 216)
One atom of each set of equivalent atoms:
Mg: 0.0000 0.0000 0.0000  4 In 3.16, 4 Sn 3.16
In: 0.2500 0.2500 0.7500  4 Mg 3.16, 4 Ga 3.16
Ga: 0.0000 0.0000 0.5000  4 In 3.16, 4 Sn 3.16
Sn: 0.2500 0.2500 0.2500  4 Mg 3.16, 4 Ga 3.16

=====

# MgCdPb

A relaxed structure of MgCdPb (PBE, Alexandria).

Summary:
ΔH_f (0 K): 0.008 eV/atom
Fermi-level density of states: 1.4 states/eV/f.u.
total magnetization: 0.000 μB per atom

Cell lengths 4.6918, 4.4973, 7.6151 Å; angles 90.00, 107.80, 90.00 degrees
Last column: nearest neighbours and their distance in Å.
Space group P2/m (No. 10)
One atom of each set of equivalent atoms:
Mg: 0.1576 0.0000 0.3153  4 Cd 3.21-3.28, 6 Pb 3.25-3.42, 2 Mg 3.56-3.57
Cd: 0.0000 0.5000 0.0000  4 Mg 3.21, 4 Cd 3.25, 4 Pb 3.34-3.35
Cd: 0.5000 0.0000 0.0000  4 Cd 3.25, 4 Mg 3.27-3.28, 4 Pb 3.28
Pb: 0.3350 0.5000 0.6706  6 Mg 3.25-3.42, 4 Cd 3.28-3.35, 2 Pb 3.41

=====

# NiPdAu3

A relaxed structure of NiPdAu3 (PBE, Alexandria).

Summary:
ΔH_f (0 K): 0.787 eV/atom
Fermi-level density of states: 5.8 states/eV/f.u.
total magnetization: 0.093 μB per atom

Cell lengths 4.7052, 4.7052, 4.7052 Å; angles 90.00, 90.00, 90.00 degrees
Last column: nearest neighbours and their distance in Å.
Space group Pm-3m (No. 221)
One atom of each set of equivalent atoms:
Ni: 0.0000 0.0000 0.0000  6 Au 2.35
Pd: 0.5000 0.5000 0.5000  12 Au 3.33
Au: 0.0000 0.0000 0.5000  2 Ni 2.35